Here is a relaxed structure of Li2VF from Alexandria. Energies are from PBE with a Hubbard U.

Lattice parameters (Å, degrees): 4.623 4.623 4.623 60.00 60.00 60.00
Sites, in units of the cell vectors:
1 Li 0.250 0.250 0.250
2 Li 0.750 0.750 0.750
3 V 0.000 0.000 0.000
4 F 0.500 0.500 0.500

Computed properties:
Space group: Fm-3m
Total magnetic moment (μB/cell): 4.0
ΔE to the lowest computed polymorph (eV per atom): 0.7153